# Fe2NiPtO6

A geometry-optimized Fe2NiPtO6 structure (PBE+U, Alexandria via LeMat-Bulk).

Properties
Its magnetization is 0.799 μB/atom. Its symmetry is R3. As for the energy: -5.890 eV/atom. The density comes out at 7.3 g/cm³.

```
Fe2NiPtO6
1.0
2.5580 1.4769 4.6060
-2.5580 1.4769 4.6060
0.0000 -2.9537 4.6060
Fe Ni Pt O
2 1 1 6
Direct
0.0000 0.0000 0.0000
0.4867 0.4867 0.4867
0.2002 0.2002 0.2002
0.6872 0.6872 0.6872
0.0963 0.3910 0.7862
0.2777 0.8932 0.6138
0.3910 0.7862 0.0963
0.6138 0.2777 0.8932
0.7862 0.0963 0.3910
0.8932 0.6138 0.2777
```